No. 1
Computed, not measured: crystalline Ba3LiCd at its relaxed geometry at the PBE level of DFT.

abc: 6.705 6.705 6.705
angles: 90.00 90.00 90.00
Sites, in units of the cell vectors:
Ba  0.500  0.000  0.000
Li  0.500  0.500  0.500
Ba  0.000  0.000  0.500
Ba  0.000  0.500  0.000
Cd  0.000  0.000  0.000

Output
Total magnetic moment   0.0000 μB per atom
Formation energy   0.09 eV per atom
Energy relative to the lowest polymorph listed for this composition   196 meV/atom


No. 2
Computed, not measured: crystalline Ba2LiCd2 at its relaxed geometry at the PBE level of DFT.

abc: 9.063 9.063 4.730
angles: 90.00 90.00 90.00
Sites, in units of the cell vectors:
Cd  0.626  0.126  0.000
Li  0.000  0.000  0.000
Cd  0.874  0.626  0.000
Ba  0.829  0.329  0.500
Cd  0.374  0.874  0.000
Ba  0.171  0.671  0.500
Ba  0.671  0.829  0.500
Li  0.500  0.500  0.000
Ba  0.329  0.171  0.500
Cd  0.126  0.374  0.000

Output
Total magnetic moment   0.0000 μB per atom
Formation energy   -0.18 eV per atom
Energy relative to the lowest polymorph listed for this composition   54 meV/atom


No. 3
Computed, not measured: crystalline BaLiCd4 at its relaxed geometry at the PBE level of DFT.

abc: 9.706 9.706 9.706
angles: 97.48 115.78 115.78
Sites, in units of the cell vectors:
Cd  0.196  0.329  0.868
Cd  0.000  0.507  0.848
Cd  0.804  0.132  0.671
Cd  0.659  0.507  0.507
Li  0.175  0.500  0.675
Cd  0.461  0.132  0.329
Cd  0.000  0.152  0.493
Ba  0.500  0.250  0.750
Cd  0.000  0.848  0.507
Cd  0.539  0.671  0.868
Li  0.175  0.675  0.500
Cd  0.196  0.868  0.329
Ba  0.000  0.862  0.862
Ba  0.500  0.750  0.250
Cd  0.804  0.671  0.132
Cd  0.000  0.493  0.152
Li  0.825  0.500  0.325
Cd  0.341  0.848  0.848
Cd  0.539  0.868  0.671
Cd  0.659  0.152  0.152
Cd  0.341  0.493  0.493
Li  0.825  0.325  0.500
Ba  0.000  0.138  0.138
Cd  0.461  0.329  0.132

Output
Total magnetic moment   0.0000 μB per atom
Formation energy   -0.14 eV per atom
Energy relative to the lowest polymorph listed for this composition   69 meV/atom


No. 4
Computed, not measured: crystalline Ba3LiCd4 at its relaxed geometry at the PBE level of DFT.

abc: 4.115 4.115 16.215
angles: 90.00 90.00 90.00
Sites, in units of the cell vectors:
Ba  0.500  0.500  0.500
Cd  0.000  0.000  0.911
Ba  0.500  0.500  0.228
Cd  0.000  0.000  0.635
Cd  0.000  0.000  0.089
Li  0.500  0.500  0.000
Ba  0.500  0.500  0.772
Cd  0.000  0.000  0.365

Output
Total magnetic moment   0.0000 μB per atom
Formation energy   -0.25 eV per atom


No. 5
Computed, not measured: crystalline BaLi2Cd at its relaxed geometry at the PBE level of DFT.

abc: 4.660 6.616 8.632
angles: 90.00 90.00 110.77
Sites, in units of the cell vectors:
Cd  0.273  0.546  0.750
Ba  0.446  0.890  0.250
Li  0.824  0.649  0.562
Ba  0.554  0.110  0.750
Cd  0.727  0.454  0.250
Li  0.176  0.351  0.438
Li  0.176  0.351  0.062
Li  0.824  0.649  0.938

Output
Total magnetic moment   0.0000 μB per atom
Formation energy   -0.15 eV per atom


No. 6
Computed, not measured: crystalline BaLi7Cd5 at its relaxed geometry at the PBE level of DFT.

abc: 5.811 7.710 7.710
angles: 82.59 67.86 67.86
Sites, in units of the cell vectors:
Li  0.264  0.236  0.236
Li  0.995  0.650  0.359
Ba  0.004  0.996  0.996
Cd  0.726  0.774  0.774
Li  0.995  0.359  0.650
Li  0.651  0.349  0.349
Li  0.353  0.647  0.647
Li  0.503  0.226  0.768
Li  0.503  0.768  0.226
Cd  0.003  0.491  0.006
Cd  0.500  0.491  0.006
Cd  0.003  0.006  0.491
Cd  0.500  0.006  0.491

Output
Total magnetic moment   0.0000 μB per atom
Formation energy   -0.20 eV per atom


No. 7
Computed, not measured: crystalline BaLi2Cd at its relaxed geometry at the PBE level of DFT.

abc: 3.802 3.798 7.943
angles: 90.00 90.00 90.00
Sites, in units of the cell vectors:
Cd  0.500  0.500  0.750
Li  0.000  0.000  0.579
Li  0.000  0.000  0.921
Ba  0.500  0.500  0.250

Output
Total magnetic moment   0.0000 μB per atom
Formation energy   -0.06 eV per atom


No. 8
Computed, not measured: crystalline BaLi3Cd at its relaxed geometry at the PBE level of DFT.

abc: 6.248 7.322 7.321
angles: 120.03 90.00 90.00
Sites, in units of the cell vectors:
Li  0.250  0.374  0.187
Li  0.250  0.813  0.187
Ba  0.250  0.333  0.667
Li  0.750  0.187  0.374
Li  0.750  0.626  0.813
Ba  0.750  0.667  0.333
Cd  0.000  0.000  0.000
Li  0.750  0.187  0.813
Li  0.250  0.813  0.626
Cd  0.500  0.000  0.000

Output
Total magnetic moment   0.0000 μB per atom
Formation energy   -0.04 eV per atom
Energy relative to the lowest polymorph listed for this composition   0 meV/atom


No. 9
Computed, not measured: crystalline BaLiLuCd at its relaxed geometry at the PBE level of DFT.

abc: 5.611 5.611 5.611
angles: 60.00 60.00 60.00
Sites, in units of the cell vectors:
Li  0.250  0.250  0.250
Lu  0.500  0.500  0.500
Ba  0.000  0.000  0.000
Cd  0.750  0.750  0.750

Output
Total magnetic moment   0.0002 μB per atom
Formation energy   0.02 eV per atom


No. 10
Computed, not measured: crystalline Ba2Li2MgCd5 at its relaxed geometry at the PBE level of DFT.

abc: 4.120 11.518 11.518
angles: 90.00 90.00 90.00
Sites, in units of the cell vectors:
Cd  0.500  0.500  0.000
Li  0.000  0.885  0.385
Ba  0.000  0.185  0.315
Cd  0.500  0.548  0.696
Cd  0.500  0.696  0.452
Cd  0.500  0.196  0.048
Ba  0.000  0.685  0.185
Cd  0.500  0.048  0.804
Cd  0.500  0.304  0.548
Li  0.000  0.615  0.885
Ba  0.000  0.315  0.815
Li  0.000  0.385  0.115
Cd  0.500  0.804  0.952
Li  0.000  0.115  0.615
Ba  0.000  0.815  0.685
Cd  0.500  0.452  0.304
Cd  0.500  0.000  0.500
Mg  0.000  0.000  0.000
Cd  0.500  0.952  0.196
Mg  0.000  0.500  0.500

Output
Total magnetic moment   0.0000 μB per atom
Formation energy   -0.20 eV per atom


No. 11
Computed, not measured: crystalline Ba2LiMg3Cd12 at its relaxed geometry at the PBE level of DFT.

abc: 12.647 12.647 12.647
angles: 32.04 32.04 32.04
Sites, in units of the cell vectors:
Cd  0.411  0.411  0.834
Cd  0.909  0.368  0.909
Ba  0.644  0.644  0.644
Cd  0.091  0.632  0.091
Cd  0.166  0.589  0.589
Li  0.000  0.000  0.000
Cd  0.091  0.091  0.632
Mg  0.000  0.500  0.000
Mg  0.500  0.000  0.000
Cd  0.834  0.411  0.411
Cd  0.368  0.909  0.909
Cd  0.411  0.834  0.411
Cd  0.632  0.091  0.091
Mg  0.000  0.000  0.500
Cd  0.909  0.909  0.368
Ba  0.356  0.356  0.356
Cd  0.589  0.589  0.166
Cd  0.589  0.166  0.589

Output
Total magnetic moment   0.0000 μB per atom
Formation energy   -0.06 eV per atom


No. 12
Computed, not measured: crystalline Ba2Li12MgCd3 at its relaxed geometry at the PBE level of DFT.

abc: 7.655 7.655 7.655
angles: 84.90 84.90 84.90
Sites, in units of the cell vectors:
Li  0.268  0.808  0.808
Li  0.808  0.268  0.808
Ba  0.731  0.731  0.731
Li  0.149  0.585  0.585
Cd  0.000  0.000  0.500
Li  0.808  0.808  0.268
Li  0.415  0.415  0.851
Li  0.192  0.192  0.732
Ba  0.269  0.269  0.269
Cd  0.500  0.000  0.000
Mg  0.000  0.000  0.000
Li  0.415  0.851  0.415
Li  0.192  0.732  0.192
Li  0.732  0.192  0.192
Li  0.585  0.149  0.585
Li  0.585  0.585  0.149
Cd  0.000  0.500  0.000
Li  0.851  0.415  0.415

Output
Total magnetic moment   0.0000 μB per atom
Formation energy   0.00 eV per atom


No. 13
Computed, not measured: crystalline BaLi2MgCd4 at its relaxed geometry at the PBE level of DFT.

abc: 4.830 4.830 10.646
angles: 76.89 76.89 60.00
Sites, in units of the cell vectors:
Li  0.228  0.228  0.317
Cd  0.873  0.873  0.382
Li  0.772  0.772  0.683
Ba  0.000  0.000  0.000
Cd  0.407  0.407  0.780
Cd  0.593  0.593  0.220
Mg  0.500  0.500  0.500
Cd  0.127  0.127  0.618

Output
Total magnetic moment   0.0000 μB per atom
Formation energy   -0.21 eV per atom


No. 14
Computed, not measured: crystalline BaLi4Mg2Cd at its relaxed geometry at the PBE level of DFT.

abc: 4.882 4.882 10.456
angles: 76.50 76.50 60.00
Sites, in units of the cell vectors:
Li  0.589  0.589  0.233
Li  0.866  0.866  0.402
Li  0.411  0.411  0.767
Cd  0.500  0.500  0.500
Mg  0.769  0.769  0.693
Ba  0.000  0.000  0.000
Li  0.134  0.134  0.598
Mg  0.231  0.231  0.307

Output
Total magnetic moment   0.0002 μB per atom
Formation energy   -0.05 eV per atom


No. 15
Computed, not measured: crystalline BaLiMg8Cd2 at its relaxed geometry at the PBE level of DFT.

abc: 5.359 5.359 12.076
angles: 78.03 78.03 68.70
Sites, in units of the cell vectors:
Mg  0.294  0.795  0.195
Cd  0.255  0.255  0.672
Mg  0.795  0.294  0.195
Mg  0.326  0.326  0.042
Mg  0.706  0.205  0.805
Mg  0.205  0.706  0.805
Ba  0.000  0.000  0.500
Mg  0.615  0.615  0.596
Cd  0.745  0.745  0.328
Mg  0.385  0.385  0.404
Mg  0.674  0.674  0.958
Li  0.000  0.000  0.000

Output
Total magnetic moment   0.0000 μB per atom
Formation energy   0.01 eV per atom


No. 16
Computed, not measured: crystalline Ba2LiMg6Cd at its relaxed geometry at the PBE level of DFT.

abc: 7.563 7.564 7.561
angles: 60.04 60.04 90.12
Sites, in units of the cell vectors:
Ba  0.750  0.250  0.500
Mg  0.241  0.759  0.000
Mg  0.241  0.241  0.518
Mg  0.759  0.759  0.000
Mg  0.759  0.241  0.000
Ba  0.250  0.750  0.500
Li  0.000  0.000  0.000
Mg  0.759  0.759  0.482
Mg  0.241  0.241  0.000
Cd  0.500  0.500  0.000

Output
Total magnetic moment   0.0346 μB per atom
Formation energy   0.02 eV per atom


No. 17
Computed, not measured: crystalline BaLiMg2Cd4 at its relaxed geometry at the PBE level of DFT.

abc: 4.882 4.882 10.513
angles: 76.57 76.57 60.00
Sites, in units of the cell vectors:
Ba  0.000  0.000  0.000
Cd  0.406  0.406  0.782
Cd  0.864  0.864  0.408
Cd  0.594  0.594  0.218
Li  0.500  0.500  0.500
Mg  0.235  0.235  0.294
Cd  0.136  0.136  0.592
Mg  0.765  0.765  0.706

Output
Total magnetic moment   0.0000 μB per atom
Formation energy   -0.20 eV per atom


No. 18
Computed, not measured: crystalline Ba2LiMgCd2 at its relaxed geometry at the PBE level of DFT.

abc: 7.021 7.023 9.740
angles: 111.13 111.13 90.00
Sites, in units of the cell vectors:
Ba  0.923  0.667  0.335
Cd  0.850  0.101  0.201
Cd  0.150  0.899  0.799
Cd  0.351  0.601  0.201
Li  0.000  0.250  0.000
Ba  0.412  0.167  0.335
Mg  0.500  0.250  0.000
Li  0.000  0.750  0.000
Ba  0.588  0.833  0.665
Mg  0.500  0.750  0.000
Cd  0.649  0.399  0.799
Ba  0.077  0.333  0.665

Output
Total magnetic moment   0.0000 μB per atom
Formation energy   -0.21 eV per atom


No. 19
Computed, not measured: crystalline Ba2LiMg12Cd3 at its relaxed geometry at the PBE level of DFT.

abc: 11.665 11.665 11.665
angles: 37.92 37.92 37.92
Sites, in units of the cell vectors:
Ba  0.353  0.353  0.353
Cd  0.000  0.000  0.500
Mg  0.646  0.070  0.070
Mg  0.415  0.808  0.415
Mg  0.070  0.070  0.646
Mg  0.808  0.415  0.415
Cd  0.500  0.000  0.000
Mg  0.354  0.930  0.930
Mg  0.070  0.646  0.070
Li  0.000  0.000  0.000
Mg  0.930  0.354  0.930
Mg  0.585  0.585  0.192
Mg  0.192  0.585  0.585
Mg  0.930  0.930  0.354
Cd  0.000  0.500  0.000
Mg  0.415  0.415  0.808
Ba  0.647  0.647  0.647
Mg  0.585  0.192  0.585

Output
Total magnetic moment   0.0000 μB per atom
Formation energy   0.10 eV per atom


No. 20
Computed, not measured: crystalline BaLiMgCd at its relaxed geometry at the PBE level of DFT.

abc: 5.540 5.540 5.540
angles: 60.00 60.00 60.00
Sites, in units of the cell vectors:
Mg  0.000  0.000  0.000
Cd  0.750  0.750  0.750
Ba  0.500  0.500  0.500
Li  0.250  0.250  0.250

Output
Total magnetic moment   0.0104 μB per atom
Formation energy   -0.09 eV per atom